A relaxed Sm4Te2PBr crystal, computed with PBE-GGA.

Unit cell a=7.512 b=4.220 c=7.563 alpha=90.00 beta=108.35 gamma=90.00
Positions (direct):
Sm 0.213 0.000 0.215
Sm 0.225 0.500 0.772
Sm 0.775 0.500 0.228
Sm 0.787 0.000 0.785
Te 0.500 0.000 0.000
Te 0.500 0.500 0.500
P 0.000 0.500 0.000
Br 0.000 0.000 0.500

SG: P2/m (10)

A relaxed Sm6Te3P2Br crystal, computed with PBE-GGA.

Unit cell a=9.654 b=9.654 c=8.738 alpha=103.46 beta=103.46 gamma=25.33
Positions (direct):
Sm 0.018 0.018 0.260
Sm 0.324 0.324 0.437
Sm 0.327 0.327 0.875
Sm 0.673 0.673 0.125
Sm 0.676 0.676 0.563
Sm 0.982 0.982 0.740
Te 0.159 0.159 0.836
Te 0.500 0.500 0.500
Te 0.841 0.841 0.164
P 0.170 0.170 0.338
P 0.830 0.830 0.662
Br 0.500 0.500 0.000

SG: C2/m (12)

A relaxed Sm8Te4P3Br crystal, computed with PBE-GGA.

Unit cell a=8.700 b=8.700 c=8.700 alpha=58.28 beta=58.28 gamma=58.28
Positions (direct):
Sm 0.219 0.748 0.748
Sm 0.237 0.237 0.237
Sm 0.252 0.252 0.781
Sm 0.252 0.781 0.252
Sm 0.748 0.219 0.748
Sm 0.748 0.748 0.219
Sm 0.763 0.763 0.763
Sm 0.781 0.252 0.252
Te 0.000 0.000 0.000
Te 0.000 0.500 0.500
Te 0.500 0.000 0.500
Te 0.500 0.500 0.000
P 0.000 0.000 0.500
P 0.000 0.500 0.000
P 0.500 0.000 0.000
Br 0.500 0.500 0.500

SG: R-3m (166)

A relaxed Sn2P2Br crystal, computed with PBE-GGA.

Unit cell a=8.342 b=8.342 c=8.342 alpha=152.18 beta=152.18 gamma=39.75
Positions (direct):
Sn 0.122 0.122 0.000
Sn 0.878 0.878 0.000
P 0.250 0.750 0.500
P 0.750 0.250 0.500
Br 0.500 0.500 0.000

SG: I4/mmm (139)

A relaxed SnP2Br crystal, computed with PBE-GGA.

Unit cell a=4.849 b=4.849 c=4.849 alpha=60.00 beta=60.00 gamma=60.00
Positions (direct):
Sn 0.000 0.000 0.000
P 0.250 0.250 0.250
P 0.750 0.750 0.750
Br 0.500 0.500 0.500

Distance to the lowest polymorph of the same formula in kJ/mol of formula units: 44.2
SG: Fm-3m (225)

A relaxed SnPBr2 crystal, computed with PBE-GGA.

Unit cell a=5.284 b=5.284 c=5.284 alpha=60.00 beta=60.00 gamma=60.00
Positions (direct):
Sn 0.000 0.000 0.000
P 0.500 0.500 0.500
Br 0.250 0.250 0.250
Br 0.750 0.750 0.750

Distance to the lowest polymorph of the same formula in kJ/mol of formula units: 79.8
SG: Fm-3m (225)

A relaxed SnP2Br crystal, computed with PBE-GGA.

Unit cell a=6.849 b=6.849 c=6.849 alpha=120.01 beta=120.01 gamma=89.98
Positions (direct):
Sn 0.000 0.000 0.000
Sn 0.750 0.250 0.500
P 0.094 0.625 0.969
P 0.375 0.344 0.469
P 0.656 0.125 0.031
P 0.875 0.906 0.531
Br 0.250 0.750 0.500
Br 0.500 0.500 0.000

Distance to the lowest polymorph of the same formula in kJ/mol of formula units: 0.0
SG: I-42d (122)

A relaxed SnPBr3 crystal, computed with PBE-GGA.

Unit cell a=5.212 b=5.212 c=5.212 alpha=90.00 beta=90.00 gamma=90.00
Positions (direct):
Sn 0.000 0.000 0.000
P 0.500 0.500 0.500
Br 0.000 0.500 0.500
Br 0.500 0.000 0.500
Br 0.500 0.500 0.000

SG: Pm-3m (221)

A relaxed SnPBr2 crystal, computed with PBE-GGA.

Unit cell a=10.141 b=10.141 c=10.141 alpha=19.85 beta=19.85 gamma=19.85
Positions (direct):
Sn 0.000 0.000 0.000
P 0.500 0.500 0.500
Br 0.417 0.417 0.417
Br 0.583 0.583 0.583

Distance to the lowest polymorph of the same formula in kJ/mol of formula units: 0.0
SG: R-3m (166)

A relaxed SnPBr2 crystal, computed with PBE-GGA.

Unit cell a=10.172 b=10.172 c=10.172 alpha=152.87 beta=152.87 gamma=38.75
Positions (direct):
Sn 0.000 0.000 0.000
Sn 0.750 0.250 0.500
P 0.250 0.750 0.500
P 0.500 0.500 0.000
Br 0.145 0.625 0.020
Br 0.375 0.395 0.520
Br 0.605 0.125 0.980
Br 0.875 0.855 0.480

Distance to the lowest polymorph of the same formula in kJ/mol of formula units: 19.6
SG: I-42d (122)

A relaxed SnPBr2 crystal, computed with PBE-GGA.

Unit cell a=10.134 b=10.134 c=10.134 alpha=19.62 beta=19.62 gamma=19.62
Positions (direct):
Sn 0.000 0.000 0.000
P 0.500 0.500 0.500
Br 0.097 0.097 0.097
Br 0.903 0.903 0.903

Distance to the lowest polymorph of the same formula in kJ/mol of formula units: 74.1
SG: R-3m (166)

A relaxed SnP3Br crystal, computed with PBE-GGA.

Unit cell a=5.103 b=5.103 c=5.103 alpha=90.00 beta=90.00 gamma=90.00
Positions (direct):
Sn 0.000 0.000 0.000
P 0.000 0.000 0.500
P 0.000 0.500 0.000
P 0.500 0.000 0.000
Br 0.500 0.500 0.500

Distance to the lowest polymorph of the same formula in kJ/mol of formula units: 0.0
SG: Pm-3m (221)

What are the N(E_F) values for these records? In order: 3.2; 5.3; 6.3; 0.9; 2.4; 2.7; 10.3; 4.2; 1.5; 4.5; 2.1; 5.4 states/eV per cell.
What are the formation energy (no corrections) values for these records? In order: -1.40; -1.47; -1.50; -0.01; 0.67; 0.40; 0.55; 0.12; 0.20; 0.25; 0.39; 1.23 eV per atom.
What are the magnetization values for these records? In order: 0.0; 0.0; 0.0; 0.0; 0.0; 2.5; 0.0; 0.6; 0.0; 0.0; 0.0; 0.0 μB/f.u..